Compound: LiCdTc2
Source: the Alexandria database
Functional: PBE
Structure: relaxed

Cell lengths 5.300, 5.300, 2.669 Å; angles 90.00, 90.00, 123.49 degrees
Sites, in units of the cell vectors:
Li  0.000  0.000  0.000
Cd  0.500  0.500  0.000
Tc  0.000  0.500  0.500
Tc  0.500  0.000  0.500

Total magnetization ... 0.00 μB per formula unit
Space-group type ... Cmmm (65)
Calculated total energy ... -5.52 eV per atom